Compound: KMn2
Source: Alexandria via LeMat-Bulk
Functional: PBE
Structure: relaxed

Lattice parameters (Å, degrees): 6.830 6.830 6.830 154.68 154.68 36.11
Fractional positions:
K1 0.000 0.000 0.000
Mn1 0.283 0.283 0.000
Mn2 0.717 0.717 0.000

Summary:
* total DFT energy (no corrections): -5.53 eV/atom
* formation enthalpy at 0 K: 0.9521 eV/atom
* total magnetization: 2.87 μB/cell
* crystal system: tetragonal